# 1
# PrTh3Tc, relaxed, DFT PBE
data_PrTh3Tc
_cell_length_a 5.512
_cell_length_b 5.512
_cell_length_c 5.512
_cell_angle_alpha 90.00
_cell_angle_beta 90.00
_cell_angle_gamma 90.00
_space_group_name_H-M_alt 'P m -3 m'
_space_group_IT_number 221
_space_group_name_Hall '-P 4 2 3'
loop_
_atom_site_label
_atom_site_type_symbol
_atom_site_fract_x
_atom_site_fract_y
_atom_site_fract_z
Pr1 Pr 0.000 0.000 0.000
Th1 Th 0.000 0.500 0.500
Tc1 Tc 0.500 0.500 0.500
# mass density: 9.27 g/cm3
# density of states at the Fermi level: 8.95 states/eV per cell
# energy: -36.95 eV per formula unit
# E_form: 91 meV/atom



# 2
# PrThTc, relaxed, DFT PBE
data_PrThTc
_cell_length_a 4.6443
_cell_length_b 4.6443
_cell_length_c 27.3643
_cell_angle_alpha 90.00
_cell_angle_beta 90.00
_cell_angle_gamma 120.00
_space_group_name_H-M_alt 'R -3 m'
_space_group_IT_number 166
_space_group_name_Hall '-R 3 2"'
loop_
_atom_site_label
_atom_site_type_symbol
_atom_site_fract_x
_atom_site_fract_y
_atom_site_fract_z
Pr1 Pr 0.0000 0.0000 0.1287
Th1 Th 0.0000 0.0000 0.2906
Tc1 Tc 0.0000 0.0000 0.4068
# mass density: 9.18 g/cm3
# density of states at the Fermi level: 13.08 states/eV per cell
# energy: -22.35 eV per formula unit
# E_form: 71 meV/atom



# 3
# PrThTc, relaxed, DFT PBE
data_PrThTc
_cell_length_a 7.084
_cell_length_b 6.910
_cell_length_c 8.578
_cell_angle_alpha 90.00
_cell_angle_beta 123.50
_cell_angle_gamma 90.00
_space_group_name_H-M_alt 'P 1 21/c 1'
_space_group_IT_number 14
loop_
_space_group_symop_operation_xyz
'x,y,z'
'-x,-y,-z'
'-x,y+1/2,-z+1/2'
'x,-y+1/2,z+1/2'
loop_
_atom_site_label
_atom_site_type_symbol
_atom_site_fract_x
_atom_site_fract_y
_atom_site_fract_z
Pr1 Pr 0.191 0.160 0.414
Th1 Th 0.316 0.667 0.610
Tc1 Tc 0.314 0.546 0.304
# mass density: 8.93 g/cm3
# density of states at the Fermi level: 9.29 states/eV per cell
# energy: -22.56 eV per formula unit
# E_form: 1 meV/atom



# 4
# PrThTc, relaxed, DFT PBE
data_PrThTc
_cell_length_a 7.013
_cell_length_b 7.013
_cell_length_c 7.013
_cell_angle_alpha 90.00
_cell_angle_beta 90.00
_cell_angle_gamma 90.00
_space_group_name_H-M_alt 'F -4 3 m'
_space_group_IT_number 216
_space_group_name_Hall 'F -4 2 3'
loop_
_atom_site_label
_atom_site_type_symbol
_atom_site_fract_x
_atom_site_fract_y
_atom_site_fract_z
Pr1 Pr 0.000 0.000 0.000
Th1 Th 0.000 0.000 0.500
Tc1 Tc 0.250 0.250 0.750
# mass density: 9.07 g/cm3
# density of states at the Fermi level: 14.33 states/eV per cell
# energy: -22.21 eV per formula unit
# E_form: 118 meV/atom